A geometry-optimized RbScBS4 structure, computed with PBE.

Raw total energy in eV per formula unit: -37.88

Unit cell a=6.337 b=5.438 c=9.213 alpha=90.00 beta=103.51 gamma=90.00
Sites, in units of the cell vectors:
1 S 0.396 0.750 0.548
2 S 0.559 0.250 0.789
3 S 0.981 0.004 0.694
4 S 0.441 0.750 0.211
5 S 0.981 0.496 0.694
6 S 0.604 0.250 0.452
7 S 0.019 0.996 0.306
8 S 0.019 0.504 0.306
9 B 0.744 0.250 0.658
10 B 0.256 0.750 0.342
11 Sc 0.750 0.750 0.449
12 Sc 0.250 0.250 0.551
13 Rb 0.746 0.750 0.961
14 Rb 0.254 0.250 0.039